1.
4
Lattice="-3.890 -3.499 -8.285 -5.040 -5.861 -6.022 -6.775 -2.892 -6.462" Properties=species:S:1:pos:R:3 comment="CaSc2Be | Alexandria | PBE | relaxed" e_form_mev_per_atom=269 magnetic_moment_mub_per_cell=0.0 n_ef_per_ev_cell=5.226 crystal_system=trigonal e_tot_ev_per_atom=-4.3286 pbc="T T T"
Sc -8.247 -6.434 -10.907
Sc -15.310 -11.945 -20.247
Ca -11.778 -9.190 -15.577
Be -3.926 -3.063 -5.192

***

2.
3
Lattice="-3.201 1.995 2.672 -1.089 -3.710 -2.534 1.022 -2.321 2.957" Properties=species:S:1:pos:R:3 comment="CaScBe | Alexandria | PBE | relaxed" e_form_mev_per_atom=444 magnetic_moment_mub_per_cell=0.0 polymorph_energy_mev_per_atom=0 n_ef_per_ev_cell=2.749 crystal_system=trigonal e_tot_ev_per_atom=-3.5761 pbc="T T T"
Ca -2.176 -0.636 1.866
Sc -0.974 -3.668 1.572
Be 0.904 -2.052 2.615

***

3.
4
Lattice="-2.992 -0.110 3.159 -4.157 -0.865 -0.960 -1.501 -5.280 1.391" Properties=species:S:1:pos:R:3 comment="CaScBe2 | Alexandria | PBE | relaxed" e_form_mev_per_atom=216 magnetic_moment_mub_per_cell=0.0 polymorph_energy_mev_per_atom=62 n_ef_per_ev_cell=2.405 crystal_system=monoclinic e_tot_ev_per_atom=-3.7300 pbc="T T T"
Be -4.485 -2.222 1.674
Be -6.989 -1.881 2.320
Sc -2.162 -1.564 0.897
Ca -6.487 -4.691 2.692